[1]
# Cd2ReOs | Alexandria | GGA-PBE | optimized geometry
data_Cd2ReOs
_chemical_formula_sum 'Cd2 Re1 Os1'
_space_group_name_H-M_alt 'P 1 2/m 1'
_space_group_IT_number 10
_space_group_name_Hall '-P 2y'
_cell_length_a 4.8090
_cell_length_b 2.9038
_cell_length_c 5.0618
_cell_angle_alpha 90.00
_cell_angle_beta 106.60
_cell_angle_gamma 90.00
loop_
_atom_site_label
_atom_site_fract_x
_atom_site_fract_y
_atom_site_fract_z
Cd1 0.0000 0.0000 0.0000
Cd2 0.5000 0.5000 0.0000
Re1 0.0000 0.5000 0.5000
Os1 0.5000 0.0000 0.5000
# D(E_F)	3.7	states/eV/cell
# raw total energy	-22.77	eV per cell
# total magnetic moment	0.0000	μB per atom
# V	16.93	Å³ per atom


[2]
# Dy6HoEr2Tm | Alexandria | GGA-PBE | optimized geometry
data_Dy6HoEr2Tm
_chemical_formula_sum 'Dy24 Ho4 Er8 Tm4'
_space_group_name_H-M_alt 'C 1 2/c 1'
_space_group_IT_number 15
_space_group_name_Hall '-C 2yc'
_cell_length_a 8.9661
_cell_length_b 14.8827
_cell_length_c 9.4906
_cell_angle_alpha 90.00
_cell_angle_beta 97.93
_cell_angle_gamma 90.00
loop_
_atom_site_label
_atom_site_fract_x
_atom_site_fract_y
_atom_site_fract_z
Dy1 0.0625 0.1851 0.4444
Dy2 0.1030 0.3939 0.6206
Dy3 0.2052 0.2243 0.8154
Ho1 0.0000 0.4082 0.2500
Er1 0.2478 0.0518 0.0439
Tm1 0.0000 0.0233 0.7500
# D(E_F)	55.7	states/eV/cell
# raw total energy	-178.29	eV per cell
# total magnetic moment	0.0000	μB per atom
# V	31.36	Å³ per atom


[3]
# CeP2PtRh7 | Alexandria | GGA-PBE | optimized geometry
data_CeP2PtRh7
_chemical_formula_sum 'Ce2 P4 Pt2 Rh14'
_space_group_name_H-M_alt 'I -4 m 2'
_space_group_IT_number 119
_space_group_name_Hall 'I -4 -2'
_cell_length_a 4.3794
_cell_length_b 4.3794
_cell_length_c 22.7544
_cell_angle_alpha 90.00
_cell_angle_beta 90.00
_cell_angle_gamma 90.00
loop_
_atom_site_label
_atom_site_fract_x
_atom_site_fract_y
_atom_site_fract_z
Ce1 0.0000 0.0000 0.0000
P1 0.0000 0.0000 0.3886
Pt1 0.0000 0.5000 0.2500
Rh1 0.0000 0.0000 0.2937
Rh2 0.0000 0.0000 0.5000
Rh3 0.0000 0.5000 0.0853
Rh4 0.0000 0.5000 0.5845
# D(E_F)	27.1	states/eV/cell
# raw total energy	-150.86	eV per cell
# total magnetic moment	0.0593	μB per atom
# V	19.84	Å³ per atom


Question: Look up the D(E_F) of the first one.
Answer: 3.7 states/eV/cell